! PBE+U MnOF, relaxed; values from VASP
&SYSTEM
  ibrav = 0, nat = 12, ntyp = 3
/
ATOMIC_SPECIES
F 19.00 F.upf
Mn 54.94 Mn.upf
O 16.00 O.upf
ATOMIC_POSITIONS angstrom
F 1.043 3.601 1.572
F 3.365 3.365 3.143
F 1.279 1.279 0.000
F 3.601 1.043 4.715
Mn 4.514 4.514 0.000
Mn 2.452 2.192 1.572
Mn 2.192 2.452 4.715
Mn 0.130 0.130 3.143
O 3.826 0.818 1.572
O 3.140 3.140 0.000
O 1.504 1.504 3.143
O 0.818 3.826 4.715
CELL_PARAMETERS angstrom
4.643 0.000 0.000
0.000 4.643 0.000
0.000 0.000 6.286
! total magnetization: 16.00 Bohr magnetons per cell
! calculated total energy: -6.749 eV per atom